[1]
## ReTcSnAs2 (meta-GGA SCAN)

Data for a crystal of ReTcSnAs2 relaxed with PBEsol.

Computed properties:
* symmetry: P4/mmm, No. 123
* DFT formation energy: 1.372 eV per atom
* calculated density: 8.3 Mg/m³

abc: 4.605 4.605 5.246
angles: 90.00 90.00 90.00
Fractional coordinates of all 5 atoms:
Re  0.000  0.000  0.000
Tc  0.500  0.500  0.500
Sn  0.500  0.500  0.000
As  0.000  0.500  0.500
As  0.500  0.000  0.500



[2]
## ZnReSnAs2 (meta-GGA SCAN)

Data for a crystal of ZnReSnAs2 relaxed with PBEsol.

Computed properties:
* symmetry: P4/mmm, No. 123
* DFT formation energy: 1.846 eV per atom
* calculated density: 6.8 Mg/m³

abc: 5.187 5.187 4.722
angles: 90.00 90.00 90.00
Fractional coordinates of all 5 atoms:
Zn  0.000  0.000  0.000
Re  0.500  0.500  0.000
Sn  0.000  0.000  0.500
As  0.000  0.500  0.500
As  0.500  0.000  0.500



[3]
## SrReAs2W (meta-GGA SCAN)

Data for a crystal of SrReAs2W relaxed with PBEsol.

Computed properties:
* symmetry: P4/mmm, No. 123
* DFT formation energy: 0.621 eV per atom
* calculated density: 8.7 Mg/m³

abc: 4.869 4.869 4.908
angles: 90.00 90.00 90.00
Fractional coordinates of all 5 atoms:
Sr  0.000  0.000  0.000
Re  0.500  0.500  0.000
As  0.000  0.500  0.500
As  0.500  0.000  0.500
W  0.500  0.500  0.500